Entry 1:
Density functional theory data (PBE) for crystalline ErSnPt at its relaxed geometry.

a = 8.1716 Å, b = 8.1716 Å, c = 3.3670 Å
α = 90.00°, β = 90.00°, γ = 120.00°
With the nearest neighbours (Å) after each atom.
Fractional positions:
Pt 0.6459 0.0000 0.5000  5 Sn 2.89-3.13, 4 Er 3.17
Er 0.0000 0.2954 0.0000  4 Sn 2.89-2.94, 4 Pt 3.17
Pt 0.0000 0.6459 0.5000  5 Sn 2.89-3.13, 4 Er 3.17
Er 0.7046 0.7046 0.0000  4 Sn 2.89-2.94, 4 Pt 3.17
Sn 0.6667 0.3333 0.0000  3 Er 2.89, 6 Pt 3.13
Pt 0.3541 0.3541 0.5000  5 Sn 2.89-3.13, 4 Er 3.17
Er 0.2954 0.0000 0.0000  4 Sn 2.89-2.94, 4 Pt 3.17
Sn 0.0000 0.0000 0.5000  3 Pt 2.89, 6 Er 2.94
Sn 0.3333 0.6667 0.0000  3 Er 2.89, 6 Pt 3.13

Properties
Space group = P-62m
DFT total energy = -48.8 eV/cell
Crystal system = hexagonal
Mass density = 12.31 g cm⁻³


Entry 2:
Density functional theory data (PBE) for crystalline Tb2ErSn3Pt3 at its relaxed geometry.

a = 4.0258 Å, b = 7.5069 Å, c = 7.5069 Å
α = 119.88°, β = 90.00°, γ = 90.00°
With the nearest neighbours (Å) after each atom.
Fractional positions:
Sn 0.5000 0.7413 0.9998  4 Pt 2.79-2.85
Tb 0.0000 0.0000 0.4064  5 Pt 3.05-3.06, 6 Sn 3.22-3.35
Pt 0.5000 0.6660 0.3357  3 Sn 2.82-2.85, 2 Er 3.03, 4 Tb 3.05
Er 0.0000 0.5946 0.5946  5 Pt 3.03-3.04, 6 Sn 3.23-3.34
Tb 0.0000 0.4064 0.0000  5 Pt 3.05-3.06, 6 Sn 3.22-3.35
Sn 0.5000 0.2580 0.2580  4 Pt 2.80-2.82
Pt 0.0000 0.9984 0.9984  6 Sn 2.79-2.80, 1 Er 3.04, 2 Tb 3.06
Pt 0.5000 0.3357 0.6660  3 Sn 2.82-2.85, 2 Er 3.03, 4 Tb 3.05
Sn 0.5000 0.9998 0.7413  4 Pt 2.79-2.85

Properties
Space group = Amm2
DFT total energy = -53.9 eV/cell
Crystal system = orthorhombic
Mass density = 12.04 g cm⁻³